[1]
A PBEsol-optimized structure of NdCuW2O8. Source: Alexandria, functional meta-GGA SCAN.

Values from the calculation:
- Magnetization: 0.00 μB per cell
- DFT total energy: -276.70 eV per cell

a b c (Å): 4.986 6.029 6.223
angles (deg): 109.00 92.32 111.79
Atoms (fractional coordinates):
Nd  0.000  0.500  0.000
W  0.756  0.021  0.336
Cu  0.500  0.500  0.500
O  0.533  0.203  0.478
W  0.244  0.979  0.664
O  0.974  0.811  0.338
O  0.504  0.774  0.080
O  0.026  0.189  0.662
O  0.992  0.248  0.227
O  0.467  0.797  0.522
O  0.008  0.752  0.773
O  0.496  0.226  0.920

[2]
A PBEsol-optimized structure of NdCu4P2. Source: Alexandria, functional meta-GGA SCAN.

Values from the calculation:
- Magnetization: 0.00 μB per cell
- D(E_F): 7.7 states/eV/cell
- Formation energy from the elements: -0.593 eV per atom
- DFT total energy: -775.95 eV per cell

a b c (Å): 3.827 10.843 14.430
angles (deg): 90.00 90.00 90.00
Atoms (fractional coordinates):
Cu  0.500  0.766  0.964
P  0.000  0.559  0.164
Cu  0.500  0.234  0.036
Cu  0.500  0.244  0.412
P  0.500  0.059  0.336
Cu  0.500  0.075  0.169
Nd  0.000  0.000  0.000
Nd  0.500  0.500  0.500
Nd  0.000  0.878  0.273
Cu  0.000  0.266  0.536
Cu  0.000  0.575  0.331
Cu  0.000  0.600  0.947
Cu  0.000  0.744  0.088
Cu  0.000  0.256  0.912
Nd  0.500  0.622  0.773
Cu  0.500  0.431  0.936
Cu  0.000  0.734  0.464
Cu  0.500  0.900  0.447
Cu  0.500  0.756  0.588
Cu  0.000  0.400  0.053
P  0.500  0.706  0.371
P  0.000  0.206  0.129
Cu  0.500  0.925  0.831
P  0.000  0.634  0.615
P  0.500  0.294  0.629
Cu  0.000  0.173  0.286
Nd  0.500  0.378  0.227
Cu  0.000  0.827  0.714
Cu  0.000  0.069  0.436
P  0.000  0.441  0.836
P  0.500  0.134  0.885
P  0.000  0.366  0.385
P  0.500  0.941  0.664
Cu  0.500  0.100  0.553
Nd  0.000  0.122  0.727
P  0.000  0.794  0.871
Cu  0.000  0.931  0.564
Cu  0.500  0.673  0.214
Cu  0.000  0.425  0.669
Cu  0.500  0.569  0.064
Cu  0.500  0.327  0.786
P  0.500  0.866  0.115

[3]
A PBEsol-optimized structure of NdCu4Pd. Source: Alexandria, functional meta-GGA SCAN.

Values from the calculation:
- Magnetization: 0.00 μB per cell
- D(E_F): 2.9 states/eV/cell
- Formation energy from the elements: -0.275 eV per atom
- DFT total energy: -138.80 eV per cell

a b c (Å): 4.933 4.933 5.155
angles (deg): 61.42 61.42 60.00
Atoms (fractional coordinates):
Cu  0.231  0.231  0.308
Cu  0.132  0.630  0.608
Nd  0.000  0.000  0.001
Cu  0.630  0.630  0.608
Cu  0.630  0.132  0.608
Pd  0.628  0.628  0.117

[4]
A PBEsol-optimized structure of NdCu3Pd2. Source: Alexandria, functional meta-GGA SCAN.

Values from the calculation:
- Magnetization: 0.00 μB per cell
- D(E_F): 1.3 states/eV/cell
- Formation energy from the elements: -0.408 eV per atom
- DFT total energy: -157.18 eV per cell

a b c (Å): 4.887 5.114 5.114
angles (deg): 63.47 61.46 61.46
Atoms (fractional coordinates):
Pd  0.631  0.616  0.121
Nd  0.997  0.003  0.003
Cu  0.635  0.616  0.616
Cu  0.134  0.616  0.616
Pd  0.631  0.121  0.616
Cu  0.222  0.278  0.278